1.
Crystalline ReTe at its relaxed geometry, computed with GGA-PBE.

a b c (Å): 10.575 10.575 4.134
angles (deg): 90.00 90.00 90.00
Fractional coordinates of all 16 atoms:
Re 0.029 0.621 0.000
Re 0.094 0.338 0.500
Re 0.338 0.906 0.500
Re 0.379 0.029 0.000
Re 0.621 0.971 0.000
Re 0.662 0.094 0.500
Re 0.906 0.662 0.500
Re 0.971 0.379 0.000
Te 0.152 0.744 0.500
Te 0.230 0.454 0.000
Te 0.256 0.152 0.500
Te 0.454 0.770 0.000
Te 0.546 0.230 0.000
Te 0.744 0.848 0.500
Te 0.770 0.546 0.000
Te 0.848 0.256 0.500

Values from the calculation:
**Energy relative to the elements, uncorrected**: 479 meV/atom
**ρ**: 9018 kg/m³
**Excess energy over the best structure of this formula in the dataset**: 150 meV per atom
**Volume**: 462.29 Å³/cell

---

2.
Crystalline ReTe at its relaxed geometry, computed with GGA-PBE.

a b c (Å): 7.330 7.330 7.330
angles (deg): 90.00 90.00 90.00
Fractional coordinates of all 12 atoms:
Re 0.000 0.250 0.500
Re 0.000 0.750 0.500
Re 0.250 0.500 0.000
Re 0.500 0.000 0.250
Re 0.500 0.000 0.750
Re 0.750 0.500 0.000
Te 0.000 0.500 0.250
Te 0.000 0.500 0.750
Te 0.250 0.000 0.500
Te 0.500 0.250 0.000
Te 0.500 0.750 0.000
Te 0.750 0.000 0.500

Values from the calculation:
**Energy relative to the elements, uncorrected**: 1379 meV/atom
**ρ**: 7937 kg/m³
**Excess energy over the best structure of this formula in the dataset**: 1050 meV per atom
**Volume**: 393.90 Å³/cell

---

3.
Crystalline ReTe at its relaxed geometry, computed with GGA-PBE.

a b c (Å): 10.377 10.377 3.907
angles (deg): 90.00 90.00 120.00
Fractional coordinates of all 12 atoms:
Re 0.018 0.580 0.250
Re 0.420 0.439 0.250
Re 0.439 0.018 0.750
Re 0.561 0.982 0.250
Re 0.580 0.561 0.750
Re 0.982 0.420 0.750
Te 0.148 0.394 0.250
Te 0.245 0.852 0.250
Te 0.394 0.245 0.750
Te 0.606 0.755 0.250
Te 0.755 0.148 0.750
Te 0.852 0.606 0.750

Values from the calculation:
**Energy relative to the elements, uncorrected**: 565 meV/atom
**ρ**: 8582 kg/m³
**Excess energy over the best structure of this formula in the dataset**: 236 meV per atom
**Volume**: 364.30 Å³/cell